VASP calculation (PBE+U) on a relaxed Ca2CoIO6 crystal.

Cell and atoms, written as POSCAR:
```
Ca2CoIO6
1.0
4.6625 0.0000 0.0000
0.0000 5.5801 0.0000
0.0000 0.0000 5.5801
O I Co Ca
6 1 1 2
direct
0.2274 0.5000 0.5000
0.1916 0.0000 0.0000
0.7083 0.7556 0.7556
0.7083 0.2444 0.2444
0.7083 0.7556 0.2444
0.7083 0.2444 0.7556
0.6336 0.5000 0.5000
0.5657 0.0000 0.0000
0.9976 0.0000 0.5000
0.9976 0.5000 0.0000
```

Results
DOS(E_F), states/eV per cell: 0.13
Energy, eV for the cell shown: -54.929